CsSi3Bi | GGA-PBE | relaxed

```
data_CsSi3Bi
_chemical_formula_sum 'Cs1 Si3 Bi1'
_cell_length_a 5.6267
_cell_length_b 5.6267
_cell_length_c 5.6267
_cell_angle_alpha 90.00
_cell_angle_beta 90.00
_cell_angle_gamma 90.00
_symmetry_space_group_name_H-M 'P m -3 m'
_symmetry_Int_Tables_number 221
_symmetry_space_group_name_Hall '-P 4 2 3'
loop_
_atom_site_label
_atom_site_fract_x
_atom_site_fract_y
_atom_site_fract_z
Cs1 0.0000 0.0000 0.0000
Si1 0.0000 0.5000 0.5000
Bi1 0.5000 0.5000 0.5000
```

The value obtained for the distance to the lowest polymorph of the same formula is 0 meV/atom. As for the uncorrected formation energy: 1.072 eV per atom. The calculation puts the total magnetization at 0.000 μB per atom. As for the density of states at the Fermi level: 5.021 states/eV/cell. As for the electronic total energy: -15.64 eV for the cell shown.